No. 1
Here is an optimized crystal structure of Nd4DyEr10 from Alexandria. Energies are from GGA-PBE.

a = 11.2228 Å, b = 11.2228 Å, c = 7.9405 Å
α = 90.00°, β = 90.00°, γ = 90.00°
Closest atoms and distances in Å follow each position.
Space group I4/mmm (No. 139)
Asymmetric unit:
Nd  0.2276  0.2276  0.0000 x8  8 Er 3.47-3.54, 1 Dy 3.61
Dy  0.0000  0.0000  0.0000 x2  8 Er 3.30, 4 Nd 3.61
Er  0.0000  0.2080  0.2941 x16  4 Er 3.27-3.30, 1 Dy 3.30, 4 Nd 3.47-3.54
Er  0.0000  0.5000  0.2500 x4  4 Er 3.30

Density of states at the Fermi level (states/eV/f.u.): 20.94
DFT total energy (eV per atom): -4.35



No. 2
Here is an optimized crystal structure of Nd2Dy8Er from Alexandria. Energies are from GGA-PBE.

a = 18.1730 Å, b = 5.0356 Å, c = 7.9718 Å
α = 90.00°, β = 105.28°, γ = 90.00°
Closest atoms and distances in Å follow each position.
Space group C2/m (No. 12)
Asymmetric unit:
Nd  0.2268  0.0000  0.1374 x4  10 Dy 3.56-3.60, 2 Nd 3.58
Dy  0.0445  0.0000  0.2278 x4  9 Dy 3.53-3.57, 2 Er 3.55, 1 Nd 3.57
Dy  0.0896  0.5000  0.9528 x4  8 Dy 3.53-3.57, 1 Er 3.55, 3 Nd 3.58-3.59
Dy  0.1349  0.0000  0.6778 x4  7 Dy 3.53-3.59, 2 Er 3.54, 3 Nd 3.59-3.60
Dy  0.1810  0.5000  0.4084 x4  8 Dy 3.55-3.59, 1 Er 3.55, 3 Nd 3.56-3.57
Er  0.0000  0.5000  0.5000 x2  12 Dy 3.54-3.55

Density of states at the Fermi level (states/eV/f.u.): 15.09
DFT total energy (eV per atom): -4.61
ΔE to the lowest computed polymorph (meV/atom): 0



No. 3
Here is an optimized crystal structure of Nd7Dy3Er2 from Alexandria. Energies are from GGA-PBE.

a = 5.5136 Å, b = 32.3551 Å, c = 4.7060 Å
α = 90.00°, β = 90.00°, γ = 90.00°
Closest atoms and distances in Å follow each position.
Space group Cmmm (No. 65)
Asymmetric unit:
Nd  0.0000  0.0000  0.0000 x2  8 Nd 3.49-3.85, 4 Dy 3.62
Nd  0.0000  0.0796  0.5000 x4  6 Nd 3.49-3.63, 2 Er 3.49, 4 Dy 3.76-3.77
Nd  0.0000  0.2645  0.0000 x4  2 Nd 2.91
Nd  0.0000  0.4168  0.0000 x4  4 Dy 3.38-3.58, 4 Nd 3.63, 2 Er 3.70
Dy  0.0000  0.3416  0.5000 x4  6 Nd 3.38-3.76, 4 Er 3.62
Dy  0.0000  0.5000  0.5000 x2  12 Nd 3.58-3.77
Er  0.0000  0.1594  0.0000 x4  7 Nd 3.40-3.70, 4 Dy 3.62

Density of states at the Fermi level (states/eV/f.u.): 17.49
DFT total energy (eV per atom): -4.43
ΔE to the lowest computed polymorph (meV/atom): 188



No. 4
Here is an optimized crystal structure of NdDy5Er3 from Alexandria. Energies are from GGA-PBE.

a = 18.2969 Å, b = 6.3039 Å, c = 11.2535 Å
α = 90.00°, β = 112.58°, γ = 90.00°
Closest atoms and distances in Å follow each position.
Space group C2/c (No. 15)
Asymmetric unit:
Nd  0.0000  0.1355  0.2500 x4  2 Er 2.94, 1 Dy 2.97
Dy  0.0000  0.3939  0.7500 x4  1 Nd 2.97, 2 Dy 3.18
Dy  0.1693  0.2903  0.2093 x8  4 Er 3.33-3.59, 2 Dy 3.39-3.47, 1 Nd 3.44
Dy  0.1703  0.1790  0.8703 x8  4 Dy 3.18-3.47, 1 Er 3.49, 1 Nd 3.50
Er  0.0000  0.0000  0.0000 x4  2 Nd 2.94
Er  0.1618  0.3053  0.5142 x8  6 Dy 3.33-3.69, 2 Er 3.43-3.48, 1 Nd 3.46

Density of states at the Fermi level (states/eV/f.u.): 11.88
DFT total energy (eV per atom): -4.30
ΔE to the lowest computed polymorph (meV/atom): 0



No. 5
Here is an optimized crystal structure of Nd6DyEr12 from Alexandria. Energies are from GGA-PBE.

a = 13.2036 Å, b = 13.2036 Å, c = 12.5986 Å
α = 90.00°, β = 90.00°, γ = 120.00°
Closest atoms and distances in Å follow each position.
Space group R-3m (No. 166, hexagonal axes)
Asymmetric unit:
Nd  0.0389  0.5194  0.1171 x18  1 Nd 3.08, 1 Dy 3.42
Dy  0.0000  0.0000  0.5000 x3  6 Nd 3.42
Er  0.0000  0.2563  0.0000 x18  6 Er 3.34-3.52, 4 Nd 3.47-3.57
Er  0.0912  0.1824  0.7640 x18  6 Er 3.34-3.61, 2 Nd 3.69

Density of states at the Fermi level (states/eV/f.u.): 30.72
DFT total energy (eV per atom): -4.41
ΔE to the lowest computed polymorph (meV/atom): 94



No. 6
Here is an optimized crystal structure of Nd2Dy2Er3 from Alexandria. Energies are from GGA-PBE.

a = 16.6907 Å, b = 3.4999 Å, c = 8.7113 Å
α = 90.00°, β = 116.26°, γ = 90.00°
Closest atoms and distances in Å follow each position.
Space group C2/m (No. 12)
Asymmetric unit:
Nd  0.0799  0.0000  0.2023 x4  3 Nd 3.35-3.50, 4 Er 3.40-3.53, 2 Dy 3.60
Dy  0.1395  0.5000  0.9068 x4  4 Dy 3.50-3.74, 5 Er 3.54-3.71, 4 Nd 3.60-3.78
Er  0.0000  0.0000  0.5000 x2  4 Er 3.31-3.50, 2 Nd 3.40, 4 Dy 3.71
Er  0.2202  0.0000  0.6468 x4  5 Er 3.31-3.58, 3 Nd 3.47-3.53, 3 Dy 3.54-3.57

Density of states at the Fermi level (states/eV/f.u.): 11.51
DFT total energy (eV per atom): -4.50
ΔE to the lowest computed polymorph (meV/atom): 0



No. 7
Here is an optimized crystal structure of Nd6DyEr8 from Alexandria. Energies are from GGA-PBE.

a = 9.4903 Å, b = 9.4903 Å, c = 6.5327 Å
α = 90.00°, β = 90.00°, γ = 120.00°
Closest atoms and distances in Å follow each position.
Space group P-3 (No. 147)
Asymmetric unit:
Nd  0.0878  0.6794  0.0933 x6  1 Nd 3.19, 3 Er 3.24-3.46
Dy  0.0000  0.0000  0.0000 x1  6 Nd 3.59, 6 Er 4.02
Er  0.0216  0.3316  0.3999 x6  3 Nd 3.24-3.46, 4 Er 3.32-3.48
Er  0.3333  0.6667  0.6508 x2  6 Er 3.39-3.48, 3 Nd 3.75

Density of states at the Fermi level (states/eV/f.u.): 22.16
DFT total energy (eV per atom): -4.41



No. 8
Here is an optimized crystal structure of Nd4Dy7Er from Alexandria. Energies are from GGA-PBE.

a = 12.1077 Å, b = 5.9354 Å, c = 12.8257 Å
α = 90.00°, β = 118.06°, γ = 90.00°
Closest atoms and distances in Å follow each position.
Space group C2/m (No. 12)
Asymmetric unit:
Nd  0.0552  0.0000  0.3349 x4  5 Dy 3.30-3.68, 2 Nd 3.62
Nd  0.1362  0.5000  0.7775 x4  7 Dy 3.38-3.73, 2 Nd 3.62
Dy  0.0000  0.0000  0.0000 x2  2 Er 2.97, 2 Dy 3.15
Dy  0.1375  0.5000  0.5056 x4  4 Dy 3.27-3.65, 5 Nd 3.30-3.58
Dy  0.2119  0.0000  0.9238 x4  4 Dy 3.15-3.43, 1 Er 3.15, 4 Nd 3.37-3.40
Dy  0.2398  0.5000  0.3094 x4  4 Dy 3.29-3.65, 1 Er 3.65, 1 Nd 3.68
Er  0.0000  0.5000  0.0000 x2  4 Dy 2.97-3.15

Density of states at the Fermi level (states/eV/f.u.): 20.11
DFT total energy (eV per atom): -4.38
ΔE to the lowest computed polymorph (meV/atom): 182



No. 9
Here is an optimized crystal structure of Nd4DyEr4 from Alexandria. Energies are from GGA-PBE.

a = 10.7754 Å, b = 10.7754 Å, c = 5.0589 Å
α = 90.00°, β = 90.00°, γ = 90.00°
Closest atoms and distances in Å follow each position.
Space group I4/mmm (No. 139)
Asymmetric unit:
Nd  0.1668  0.1668  0.0000 x8  4 Nd 3.58-3.59, 2 Dy 3.59, 6 Er 3.59-3.60
Dy  0.0000  0.0000  0.5000 x2  8 Nd 3.59, 4 Er 3.61
Er  0.0000  0.3354  0.5000 x8  5 Er 3.55-3.56, 6 Nd 3.59-3.60, 1 Dy 3.61

Density of states at the Fermi level (states/eV/f.u.): 13.17
DFT total energy (eV per atom): -4.64
ΔE to the lowest computed polymorph (meV/atom): 0



No. 10
Here is an optimized crystal structure of Nd4DyEr3 from Alexandria. Energies are from GGA-PBE.

a = 5.6857 Å, b = 25.9782 Å, c = 3.6478 Å
α = 90.00°, β = 90.00°, γ = 90.00°
Closest atoms and distances in Å follow each position.
Space group Cmmm (No. 65)
Asymmetric unit:
Nd  0.0000  0.1025  0.0000 x4  1 Nd 3.13, 2 Dy 3.23
Nd  0.0000  0.2229  0.0000 x4  3 Nd 3.13-3.17
Dy  0.0000  0.0000  0.5000 x2  4 Nd 3.23, 4 Er 3.38
Er  0.0000  0.3498  0.5000 x4  10 Nd 3.60-3.87, 2 Er 3.65
Er  0.0000  0.5000  0.0000 x2  4 Dy 3.38, 2 Er 3.65

Density of states at the Fermi level (states/eV/f.u.): 11.48
DFT total energy (eV per atom): -4.47
ΔE to the lowest computed polymorph (meV/atom): 169



No. 11
Here is an optimized crystal structure of Nd6Dy12Er from Alexandria. Energies are from GGA-PBE.

a = 11.1234 Å, b = 11.1234 Å, c = 17.5996 Å
α = 90.00°, β = 90.00°, γ = 120.00°
Closest atoms and distances in Å follow each position.
Space group R-3m (No. 166, hexagonal axes)
Asymmetric unit:
Nd  0.0700  0.5350  0.2673 x18  1 Er 3.09, 3 Dy 3.34-3.40
Dy  0.0998  0.5499  0.9132 x18  5 Dy 3.47-3.79, 5 Nd 3.57-3.66
Dy  0.1060  0.2120  0.9079 x18  3 Nd 3.34-3.40, 5 Dy 3.47-3.54
Er  0.0000  0.0000  0.5000 x3  6 Nd 3.09

Density of states at the Fermi level (states/eV/f.u.): 29.28
DFT total energy (eV per atom): -4.53
ΔE to the lowest computed polymorph (meV/atom): 0



No. 12
Here is an optimized crystal structure of NdDy10Er4 from Alexandria. Energies are from GGA-PBE.

a = 12.1141 Å, b = 12.1141 Å, c = 7.6561 Å
α = 90.00°, β = 90.00°, γ = 90.00°
Closest atoms and distances in Å follow each position.
Space group I4/m (No. 87)
Asymmetric unit:
Nd  0.0000  0.0000  0.0000 x2  8 Dy 3.34
Dy  0.0000  0.5000  0.2500 x4  4 Er 3.31
Dy  0.1013  0.2014  0.2521 x16  3 Er 3.31, 1 Nd 3.34
Er  0.0994  0.6991  0.5000 x8  8 Dy 3.31

Density of states at the Fermi level (states/eV/f.u.): 17.49
DFT total energy (eV per atom): -3.87



No. 13
Here is an optimized crystal structure of Nd4Dy3Er from Alexandria. Energies are from GGA-PBE.

a = 11.5919 Å, b = 7.3296 Å, c = 6.3141 Å
α = 90.00°, β = 90.00°, γ = 90.00°
Closest atoms and distances in Å follow each position.
Space group Pmn2_1 (No. 31)
Asymmetric unit:
Nd  0.0000  0.1275  0.0000 x2  4 Dy 3.59-3.65, 6 Nd 3.60-3.69, 2 Er 3.61-3.72
Nd  0.0000  0.8722  0.4972 x2  6 Nd 3.59-3.69, 4 Dy 3.59-3.71, 2 Er 3.64-3.67
Nd  0.2489  0.8716  0.8346 x4  1 Er 3.58, 6 Nd 3.59-3.68, 5 Dy 3.59-3.72
Dy  0.0000  0.3783  0.5000 x2  4 Dy 3.56-3.58, 6 Nd 3.59-3.71, 2 Er 3.62
Dy  0.2499  0.3788  0.8326 x4  2 Er 3.56-3.58, 4 Dy 3.56-3.62, 6 Nd 3.59-3.72
Er  0.0000  0.6204  0.9997 x2  6 Dy 3.56-3.62, 6 Nd 3.58-3.72

Density of states at the Fermi level (states/eV/f.u.): 14.61
DFT total energy (eV per atom): -4.65
ΔE to the lowest computed polymorph (meV/atom): 0



No. 14
Here is an optimized crystal structure of Nd6Dy3Er2 from Alexandria. Energies are from GGA-PBE.

a = 6.1426 Å, b = 6.7941 Å, c = 9.8594 Å
α = 89.14°, β = 89.07°, γ = 64.21°
Closest atoms and distances in Å follow each position.
Space group P-1 (No. 2)
Asymmetric unit:
Nd  0.1001  0.3921  0.3175 x2  3 Dy 3.40-3.69, 2 Er 3.49-3.57, 4 Nd 3.50-3.74
Nd  0.2113  0.2261  0.9531 x2  4 Dy 3.55-3.62, 7 Nd 3.56-3.74, 1 Er 3.64
Nd  0.2487  0.8526  0.2256 x2  2 Er 3.39-3.74, 4 Dy 3.49-3.76, 5 Nd 3.50-3.72
Dy  0.3427  0.6794  0.8669 x2  1 Er 3.49, 9 Nd 3.50-3.76, 2 Dy 3.53-3.81
Dy  0.5000  0.5000  0.5000 x1  4 Nd 3.40-3.49, 2 Er 3.52, 2 Dy 3.81
Er  0.2701  0.0484  0.6022 x2  1 Er 3.27, 4 Nd 3.39-3.64, 2 Dy 3.49-3.52

Density of states at the Fermi level (states/eV/f.u.): 18.18
DFT total energy (eV per atom): -4.61
ΔE to the lowest computed polymorph (meV/atom): 0



No. 15
Here is an optimized crystal structure of Nd11Dy4Er9 from Alexandria. Energies are from GGA-PBE.

a = 16.9426 Å, b = 25.6564 Å, c = 3.6597 Å
α = 90.00°, β = 90.00°, γ = 90.00°
Closest atoms and distances in Å follow each position.
Space group Cmmm (No. 65)
Asymmetric unit:
Nd  0.0000  0.0000  0.0000 x2  8 Er 3.54, 2 Nd 3.66
Nd  0.0000  0.1601  0.0000 x4  4 Nd 3.66-3.84, 8 Er 3.73-3.75
Nd  0.0000  0.3682  0.0000 x4  4 Dy 3.32, 4 Er 3.61, 2 Nd 3.66
Nd  0.2076  0.5000  0.0000 x4  4 Dy 3.30, 2 Nd 3.66, 4 Er 3.66
Nd  0.2241  0.1812  0.0000 x8  2 Dy 3.40, 6 Er 3.54-3.71, 3 Nd 3.64-3.66
Dy  0.1570  0.3983  0.5000 x8  6 Nd 3.30-3.40, 2 Er 3.49-3.51, 2 Dy 3.66
Er  0.0000  0.5000  0.5000 x2  2 Er 3.66, 4 Dy 3.73, 8 Nd 3.85-3.96
Er  0.1017  0.2673  0.5000 x8  3 Er 3.45-3.66, 1 Dy 3.49, 8 Nd 3.54-3.73
Er  0.1408  0.0726  0.5000 x8  1 Dy 3.51, 8 Nd 3.54-3.75, 3 Er 3.66-3.72

Density of states at the Fermi level (states/eV/f.u.): 29.93
DFT total energy (eV per atom): -4.61



No. 16
Here is an optimized crystal structure of NdDy6Er4 from Alexandria. Energies are from GGA-PBE.

a = 5.6877 Å, b = 9.6010 Å, c = 25.5925 Å
α = 90.00°, β = 90.00°, γ = 90.00°
Closest atoms and distances in Å follow each position.
Space group Cmcm (No. 63)
Asymmetric unit:
Nd  0.0000  0.1894  0.2500 x4  3 Dy 3.21-3.26
Dy  0.0000  0.1406  0.6804 x8  4 Er 3.50-3.61, 7 Dy 3.56-3.84, 3 Nd 3.63-3.73
Dy  0.0000  0.1913  0.1014 x8  6 Er 3.28-3.67
Dy  0.0000  0.4763  0.7500 x4  3 Nd 3.21-3.26, 2 Er 3.29
Dy  0.0000  0.5000  0.0000 x4  8 Er 3.12-3.47
Er  0.0000  0.1566  0.5421 x8  8 Dy 3.39-3.69, 2 Er 3.63-3.70
Er  0.0000  0.4697  0.6214 x8  5 Dy 3.12-3.30

Density of states at the Fermi level (states/eV/f.u.): 19.96
DFT total energy (eV per atom): -4.48
ΔE to the lowest computed polymorph (meV/atom): 0



No. 17
Here is an optimized crystal structure of NdDy3Er4 from Alexandria. Energies are from GGA-PBE.

a = 23.3917 Å, b = 3.4549 Å, c = 6.6484 Å
α = 90.00°, β = 106.40°, γ = 90.00°
Closest atoms and distances in Å follow each position.
Space group C2/m (No. 12)
Asymmetric unit:
Nd  0.0000  0.0000  0.0000 x2  2 Nd 3.45, 4 Er 3.69, 8 Dy 3.70-3.75
Dy  0.0000  0.5000  0.5000 x2  4 Dy 3.30-3.45, 2 Er 3.31
Dy  0.1264  0.5000  0.3724 x4  5 Er 3.26-3.49, 3 Dy 3.30-3.45
Er  0.1263  0.5000  0.8826 x4  3 Dy 3.26-3.39, 5 Er 3.45-3.47
Er  0.2397  0.0000  0.2377 x4  9 Er 3.45-3.80, 3 Dy 3.46-3.49

Density of states at the Fermi level (states/eV/f.u.): 14.01
DFT total energy (eV per atom): -4.43
ΔE to the lowest computed polymorph (meV/atom): 167



No. 18
Here is an optimized crystal structure of Nd6DyEr12 from Alexandria. Energies are from GGA-PBE.

a = 11.0643 Å, b = 11.0643 Å, c = 17.4636 Å
α = 90.00°, β = 90.00°, γ = 120.00°
Closest atoms and distances in Å follow each position.
Space group R-3m (No. 166, hexagonal axes)
Asymmetric unit:
Nd  0.0691  0.5345  0.2671 x18  1 Dy 3.08, 3 Er 3.32-3.37
Dy  0.0000  0.0000  0.5000 x3  6 Nd 3.08
Er  0.1017  0.5509  0.9135 x18  7 Er 3.44-3.84, 5 Nd 3.55-3.66
Er  0.1060  0.2120  0.9076 x18  3 Nd 3.32-3.37, 5 Er 3.44-3.52

Density of states at the Fermi level (states/eV/f.u.): 29.11
DFT total energy (eV per atom): -4.50
ΔE to the lowest computed polymorph (meV/atom): 0